{
  "formula": "BaAl2Re",
  "functional": "PBE",
  "state": "relaxed",
  "cell": [[2.206, 1.274, 5.964], [-2.206, 1.274, 5.964], [0.000, -2.547, 5.964]],
  "species": ["Ba", "Al", "Al", "Re"],
  "fractional_positions": [[0.000, 0.000, 0.000], [0.194, 0.194, 0.194], [0.806, 0.806, 0.806], [0.500, 0.500, 0.500]],
  "space_group": "R-3m",
  "delta_e_f_ev_per_atom": 0.115,
  "crystal_system": "trigonal",
  "de_polymorph_ev_per_fu": 0.145,
  "total_magnetization_mub_per_cell": 0.0
}